Density functional theory data (PBE-GGA) for a geometry-optimized GdAuSO structure.

a = 5.6531 Å, b = 5.6294 Å, c = 9.1022 Å
α = 90.00°, β = 90.00°, γ = 90.00°
Atoms (fractional coordinates):
S  0.0000  0.5000  0.2844
O  0.2495  0.2493  0.0000
Gd  0.5000  0.5000  0.1237
Gd  0.0000  0.5000  0.8765
Au  0.5123  0.7495  0.4999
Au  0.0123  0.7505  0.4999
S  0.0000  0.0000  0.7158
S  0.5000  0.5000  0.7158
S  0.5000  0.0000  0.2844
Gd  0.0000  0.0000  0.1237
O  0.7495  0.2507  0.0000
O  0.7505  0.7507  0.0000
Au  0.9877  0.2495  0.4999
Au  0.4877  0.2505  0.4999
Gd  0.5000  0.0000  0.8765
O  0.2505  0.7493  0.0000

electronic total energy = -6.1825 eV/atom
polymorph energy (0 for the lowest one) = 2.4 kJ/mol of atoms
space group = Pba2, No. 32